The following is a GGA-PBE calculation of a geometry-optimized Nb2GeRh structure, from Alexandria via LeMat-Bulk.

a b c (Å): 4.2323 3.9172 3.9172
angles (deg): 90.00 90.00 90.00
Sites, in units of the cell vectors:
Nb: 0.0000 0.0000 0.5000
Nb: 0.0000 0.5000 0.0000
Rh: 0.5000 0.0000 0.0000
Ge: 0.5000 0.5000 0.5000

Output
- calculated total energy (eV per cell) = -33.552
- space group = P4/mmm, No. 123
- energy of formation from the pure elements (meV per atom) = -360.9



The following is a GGA-PBE calculation of a geometry-optimized Pm2Zn3Pd5 structure, from Alexandria via LeMat-Bulk.

a b c (Å): 5.6212 8.7958 8.7958
angles (deg): 67.61 71.37 71.37
Sites, in units of the cell vectors:
Pm: 0.1425 0.5962 0.1189
Pm: 0.6425 0.1189 0.5962
Pm: 0.8575 0.4038 0.8811
Pm: 0.3575 0.8811 0.4038
Zn: 0.3440 0.5870 0.7250
Zn: 0.8440 0.7250 0.5870
Zn: 0.6560 0.4130 0.2750
Zn: 0.1560 0.2750 0.4130
Zn: 0.2500 0.0000 0.0000
Zn: 0.7500 0.0000 0.0000
Pd: 0.4254 0.2776 0.8717
Pd: 0.9254 0.8717 0.2776
Pd: 0.5746 0.7224 0.1283
Pd: 0.0746 0.1283 0.7224
Pd: 0.4434 0.8066 0.8066
Pd: 0.5566 0.1934 0.1934
Pd: 0.7500 0.5000 0.5000
Pd: 0.2500 0.5000 0.5000
Pd: 0.0566 0.1934 0.1934
Pd: 0.9434 0.8066 0.8066

Output
- calculated total energy (eV per cell) = -91.709
- space group = Ibam, No. 72
- energy of formation from the pure elements (meV per atom) = -656.7
- E above lowest polymorph (eV per atom) = 0.000



The following is a GGA-PBE calculation of a geometry-optimized CeTmTl structure, from Alexandria via LeMat-Bulk.

a b c (Å): 5.4324 5.4324 6.5818
angles (deg): 90.00 90.00 119.99
Site moments in Bohr magnetons follow the coordinates.
Sites, in units of the cell vectors:
Ce: 0.0000 0.5000 0.0000  0.97
Ce: 0.0000 0.5000 0.5000  0.97
Tm: 0.6666 0.8334 0.7500  0.23
Tm: 0.3334 0.1666 0.2500  0.23
Tl: 0.3332 0.1668 0.7500  -0.02
Tl: 0.6668 0.8332 0.2500  -0.02

Output
- calculated total energy (eV per cell) = -26.763
- space group = P6_3/mmc, No. 194
- energy of formation from the pure elements (meV per atom) = -203.2
- E above lowest polymorph (eV per atom) = 0.000



The following is a GGA-PBE calculation of a geometry-optimized RbClF3 structure, from Alexandria via LeMat-Bulk.

a b c (Å): 4.2235 6.5204 8.1837
angles (deg): 90.00 95.58 90.00
Site moments in Bohr magnetons follow the coordinates.
Sites, in units of the cell vectors:
Rb: 0.8005 0.7500 0.6626  0.00
Rb: 0.1995 0.2500 0.3374  0.00
Cl: 0.5773 0.7500 0.1637  0.41
Cl: 0.4227 0.2500 0.8363  0.41
F: 0.7128 0.9490 0.3475  0.19
F: 0.2872 0.0510 0.6525  0.19
F: 0.2872 0.4490 0.6525  0.19
F: 0.7128 0.5510 0.3475  0.19
F: 0.4152 0.7500 0.9509  0.07
F: 0.5848 0.2500 0.0491  0.07

Output
- raw formation energy (eV/atom) = -1.359
- calculated total energy (eV per cell) = -30.442
- space group = P2_1/m, No. 11
- E above lowest polymorph (eV per atom) = 0.145



The following is a GGA-PBE calculation of a geometry-optimized SmPt4Au8 structure, from Alexandria via LeMat-Bulk.

a b c (Å): 7.3806 7.3806 7.3806
angles (deg): 60.00 60.00 60.00
Sites, in units of the cell vectors:
Sm: 0.7500 0.7500 0.7500
Pt: 0.9657 0.3448 0.3448
Pt: 0.3448 0.9657 0.3448
Pt: 0.3448 0.3448 0.9657
Pt: 0.3448 0.3448 0.3448
Au: 0.7185 0.0938 0.0938
Au: 0.0938 0.7185 0.0938
Au: 0.0938 0.0938 0.7185
Au: 0.0938 0.0938 0.0938
Au: 0.2064 0.5979 0.5979
Au: 0.5979 0.2064 0.5979
Au: 0.5979 0.5979 0.2064
Au: 0.5979 0.5979 0.5979

Output
- calculated total energy (eV per cell) = -53.387
- space group = F-43m, No. 216
- energy of formation from the pure elements (meV per atom) = 131.8
- E above lowest polymorph (eV per atom) = 0.371



The following is a GGA-PBE calculation of a geometry-optimized Li4PmAs2 structure, from Alexandria via LeMat-Bulk.

a b c (Å): 4.1819 7.7557 7.7557
angles (deg): 90.00 90.00 90.00
Sites, in units of the cell vectors:
Li: 0.0000 0.0962 0.3343
Li: 0.0000 0.9038 0.6657
Li: 0.5000 0.1657 0.5962
Li: 0.5000 0.8343 0.4038
Li: 0.5000 0.4038 0.8343
Li: 0.5000 0.5962 0.1657
Li: 0.0000 0.3343 0.0962
Li: 0.0000 0.6657 0.9038
Pm: 0.5000 0.0000 0.0000
Pm: 0.0000 0.5000 0.5000
As: 0.0000 0.2124 0.7876
As: 0.0000 0.7876 0.2124
As: 0.5000 0.7124 0.7124
As: 0.5000 0.2876 0.2876

Output
- calculated total energy (eV per cell) = -54.980
- space group = P4_2/mnm, No. 136
- energy of formation from the pure elements (meV per atom) = -826.5



The following is a GGA-PBE calculation of a geometry-optimized CeGdErHf structure, from Alexandria via LeMat-Bulk.

a b c (Å): 5.4252 5.4252 5.4252
angles (deg): 60.00 60.00 60.00
Site moments in Bohr magnetons follow the coordinates.
Sites, in units of the cell vectors:
Gd: 0.5000 0.5000 0.5000  7.21
Hf: 0.2500 0.2500 0.2500  0.24
Ce: 0.0000 0.0000 0.0000  0.45
Er: 0.7500 0.7500 0.7500  0.03

Output
- calculated total energy (eV per cell) = -33.536
- space group = F-43m, No. 216
- energy of formation from the pure elements (meV per atom) = 248.8



The following is a GGA-PBE calculation of a geometry-optimized LiTaHRh2 structure, from Alexandria via LeMat-Bulk.

a b c (Å): 4.0665 4.0665 3.6009
angles (deg): 90.00 90.00 90.00
Sites, in units of the cell vectors:
H: 0.0000 0.0000 0.0000
Li: 0.0000 0.0000 0.5000
Rh: 0.0000 0.5000 0.0000
Rh: 0.5000 0.0000 0.0000
Ta: 0.5000 0.5000 0.5000

Output
- calculated total energy (eV per cell) = -33.243
- space group = P4/mmm, No. 123
- E above lowest polymorph (eV per atom) = 0.000



The following is a GGA-PBE calculation of a geometry-optimized ZrTcCl2 structure, from Alexandria via LeMat-Bulk.

a b c (Å): 3.0619 3.0619 8.8339
angles (deg): 90.00 90.00 90.00
Sites, in units of the cell vectors:
Tc: 0.0000 0.0000 0.5018
Zr: 0.5000 0.5000 0.7345
Cl: 0.0000 0.0000 0.9272
Cl: 0.5000 0.5000 0.3366

Output
- raw formation energy (eV/atom) = -0.456
- calculated total energy (eV per cell) = -24.431
- space group = P4mm, No. 99
- E above lowest polymorph (eV per atom) = 0.099



The following is a GGA-PBE calculation of a geometry-optimized Zn3AgCl structure, from Alexandria via LeMat-Bulk.

a b c (Å): 5.0009 5.0009 5.0009
angles (deg): 90.00 90.00 90.00
Sites, in units of the cell vectors:
Zn: 0.0000 0.5000 0.0000
Zn: 0.0000 0.0000 0.5000
Zn: 0.5000 0.0000 0.0000
Ag: 0.0000 0.0000 0.0000
Cl: 0.5000 0.5000 0.5000

Output
- raw formation energy (eV/atom) = 0.099
- calculated total energy (eV per cell) = -8.024
- space group = Pm-3m, No. 221
- E above lowest polymorph (eV per atom) = 0.000



The following is a GGA-PBE calculation of a geometry-optimized CaMg9Au2 structure, from Alexandria via LeMat-Bulk.

a b c (Å): 7.6299 9.2572 9.2572
angles (deg): 80.22 65.66 65.66
Sites, in units of the cell vectors:
Ca: 0.5000 0.0000 0.0000
Ca: 0.2500 0.5000 0.5000
Mg: 0.7500 0.5000 0.5000
Mg: 0.0000 0.0000 0.0000
Mg: 0.0108 0.9231 0.6781
Mg: 0.6121 0.0769 0.3219
Mg: 0.6840 0.1781 0.5769
Mg: 0.4389 0.8219 0.4231
Mg: 0.7392 0.8219 0.5769
Mg: 0.1379 0.1781 0.4231
Mg: 0.0660 0.9231 0.3219
Mg: 0.3111 0.0769 0.6781
Mg: 0.7392 0.5769 0.8219
Mg: 0.1379 0.4231 0.1781
Mg: 0.0660 0.3219 0.9231
Mg: 0.3111 0.6781 0.0769
Mg: 0.0108 0.6781 0.9231
Mg: 0.6121 0.3219 0.0769
Mg: 0.6840 0.5769 0.1781
Mg: 0.4389 0.4231 0.8219
Au: 0.8750 0.2500 0.7500
Au: 0.8750 0.7500 0.2500
Au: 0.8750 0.2500 0.2500
Au: 0.3750 0.7500 0.7500

Output
- calculated total energy (eV per cell) = -52.523
- space group = I4_1/amd, No. 141
- energy of formation from the pure elements (meV per atom) = -279.5



The following is a GGA-PBE calculation of a geometry-optimized NpB2Os2 structure, from Alexandria via LeMat-Bulk.

a b c (Å): 3.8680 3.8680 5.2140
angles (deg): 111.77 111.77 90.00
Site moments in Bohr magnetons follow the coordinates.
Sites, in units of the cell vectors:
Np: 0.0000 0.0000 0.0000  3.11
B: 0.6135 0.6135 0.2270  0.00
B: 0.3865 0.3865 0.7730  0.00
Os: 0.7500 0.2500 0.5000  -0.18
Os: 0.2500 0.7500 0.5000  -0.18

Output
- calculated total energy (eV per cell) = -49.353
- space group = I4/mmm, No. 139
- energy of formation from the pure elements (meV per atom) = -119.6



The following is a GGA-PBE calculation of a geometry-optimized AcHI structure, from Alexandria via LeMat-Bulk.

a b c (Å): 3.8252 3.8252 6.3022
angles (deg): 107.67 107.67 90.00
Sites, in units of the cell vectors:
I: 0.0141 0.0141 0.0282
H: 0.2725 0.2725 0.5451
Ac: 0.7134 0.7134 0.4267

Output
- calculated total energy (eV per cell) = -11.106
- space group = I4mm, No. 107
- E above lowest polymorph (eV per atom) = 0.321



The following is a GGA-PBE calculation of a geometry-optimized BaNdPb4 structure, from Alexandria via LeMat-Bulk.

a b c (Å): 6.6132 6.6132 6.6132
angles (deg): 60.00 60.00 60.00
Sites, in units of the cell vectors:
Pb: 0.6259 0.6259 0.1224
Pb: 0.6259 0.1224 0.6259
Pb: 0.6259 0.6259 0.6259
Pb: 0.1224 0.6259 0.6259
Nd: 0.0000 0.0000 0.0000
Ba: 0.2500 0.2500 0.2500

Output
- calculated total energy (eV per cell) = -23.344
- space group = F-43m, No. 216
- energy of formation from the pure elements (meV per atom) = -303.3



The following is a GGA-PBE calculation of a geometry-optimized CsHg6Au8 structure, from Alexandria via LeMat-Bulk.

a b c (Å): 7.3585 7.3585 7.3585
angles (deg): 72.08 72.08 72.08
Sites, in units of the cell vectors:
Cs: 0.0000 0.0000 0.0000
Hg: 0.1724 0.3350 0.5802
Hg: 0.4198 0.8276 0.6650
Hg: 0.6650 0.4198 0.8276
Hg: 0.3350 0.5802 0.1724
Hg: 0.5802 0.1724 0.3350
Hg: 0.8276 0.6650 0.4198
Au: 0.1891 0.5171 0.8628
Au: 0.1372 0.8109 0.4829
Au: 0.4829 0.1372 0.8109
Au: 0.7920 0.7920 0.7920
Au: 0.2080 0.2080 0.2080
Au: 0.5171 0.8628 0.1891
Au: 0.8628 0.1891 0.5171
Au: 0.8109 0.4829 0.1372

Output
- calculated total energy (eV per cell) = -28.610
- space group = R-3, No. 148
- energy of formation from the pure elements (meV per atom) = 18.2



The following is a GGA-PBE calculation of a geometry-optimized BaYBr2 structure, from Alexandria via LeMat-Bulk.

a b c (Å): 6.4978 6.4978 6.4978
angles (deg): 145.36 113.51 77.19
Sites, in units of the cell vectors:
Y: 0.7500 0.2500 0.5000
Ba: 0.2500 0.7500 0.5000
Br: 0.9683 0.9683 0.0000
Br: 0.5317 0.5317 0.0000

Output
- raw formation energy (eV/atom) = -1.129
- calculated total energy (eV per cell) = -16.250
- space group = Immm, No. 71
- E above lowest polymorph (eV per atom) = 0.085



The following is a GGA-PBE calculation of a geometry-optimized SmDy2Sc5 structure, from Alexandria via LeMat-Bulk.

a b c (Å): 6.8687 6.8685 6.3725
angles (deg): 105.59 105.59 120.08
Sites, in units of the cell vectors:
Sm: 0.8182 0.7373 0.0000
Dy: 0.2435 0.8238 0.5113
Dy: 0.7322 0.3125 0.4887
Sc: 0.2339 0.3218 0.5000
Sc: 0.3205 0.7313 0.0000
Sc: 0.8245 0.2353 0.0000
Sc: 0.7339 0.8218 0.5000
Sc: 0.3162 0.2392 0.0000

Output
- calculated total energy (eV per cell) = -45.358
- space group = Fmm2, No. 42
- energy of formation from the pure elements (meV per atom) = 27.9
- E above lowest polymorph (eV per atom) = 0.000



The following is a GGA-PBE calculation of a geometry-optimized Zr2Al2Bi structure, from Alexandria via LeMat-Bulk.

a b c (Å): 7.4366 7.4366 3.8961
angles (deg): 90.00 90.00 90.00
Sites, in units of the cell vectors:
Bi: 0.0000 0.0000 0.0000
Bi: 0.5000 0.5000 0.0000
Zr: 0.1787 0.6787 0.5000
Zr: 0.6787 0.8213 0.5000
Zr: 0.8213 0.3213 0.5000
Zr: 0.3213 0.1787 0.5000
Al: 0.3816 0.8816 0.0000
Al: 0.8816 0.6184 0.0000
Al: 0.6184 0.1184 0.0000
Al: 0.1184 0.3816 0.0000

Output
- calculated total energy (eV per cell) = -58.976
- space group = P4/mbm, No. 127
- energy of formation from the pure elements (meV per atom) = -205.1
- E above lowest polymorph (eV per atom) = 0.000



The following is a GGA-PBE calculation of a geometry-optimized Zr2NbRu structure, from Alexandria via LeMat-Bulk.

a b c (Å): 7.5099 7.5099 6.0366
angles (deg): 51.54 51.54 90.00
Sites, in units of the cell vectors:
Ru: 0.0000 0.0000 0.0000
Ru: 0.7500 0.2500 0.5000
Nb: 0.5000 0.5000 0.0000
Nb: 0.2500 0.7500 0.5000
Zr: 0.6562 0.1250 0.2500
Zr: 0.0938 0.6250 0.2500
Zr: 0.3750 0.3438 0.7500
Zr: 0.8750 0.9062 0.7500

Output
- calculated total energy (eV per cell) = -71.034
- space group = I-42d, No. 122
- energy of formation from the pure elements (meV per atom) = 231.2



The following is a GGA-PBE calculation of a geometry-optimized La3BSb structure, from Alexandria via LeMat-Bulk.

a b c (Å): 5.2913 5.2913 5.2913
angles (deg): 90.00 90.00 90.00
Sites, in units of the cell vectors:
Sb: 0.5000 0.5000 0.5000
B: 0.0000 0.0000 0.0000
La: 0.0000 0.5000 0.0000
La: 0.0000 0.0000 0.5000
La: 0.5000 0.0000 0.0000

Output
- raw formation energy (eV/atom) = -0.456
- calculated total energy (eV per cell) = -27.862
- space group = Pm-3m, No. 221
- E above lowest polymorph (eV per atom) = 0.000